# CoGeBi

A relaxed structure of CoGeBi (GGA-PBE, Alexandria via LeMat-Bulk).

Energy above the most stable polymorph in this dataset, kJ/mol of atoms: 3.3
Formation energy, meV per atom: 38.8

abc: 6.234 6.234 5.723
angles: 104.50 104.50 35.43
Positions (direct):
Co (0.233, 0.233, 0.152)
Co (0.767, 0.767, 0.848)
Ge (0.387, 0.387, 0.956)
Ge (0.613, 0.613, 0.044)
Bi (0.141, 0.141, 0.547)
Bi (0.859, 0.859, 0.453)